# KCe2ZnS5 (PBE, relaxed)
data_KCe2ZnS5
_chemical_formula_sum 'K2 Ce4 Zn2 S10'
_space_group_name_H-M_alt 'P 1'
_space_group_IT_number 1
_cell_length_a 7.827
_cell_length_b 7.827
_cell_length_c 8.825
_cell_angle_alpha 116.33
_cell_angle_beta 116.33
_cell_angle_gamma 90.00
loop_
_space_group_symop_operation_xyz
'x,y,z'
loop_
_atom_site_label
_atom_site_type_symbol
_atom_site_fract_x
_atom_site_fract_y
_atom_site_fract_z
K1 K 0.250 0.250 0.500
K2 K 0.750 0.750 0.500
Ce1 Ce 0.164 0.336 0.000
Ce2 Ce 0.664 0.164 0.000
Ce3 Ce 0.336 0.836 0.000
Ce4 Ce 0.836 0.664 0.000
Zn1 Zn 0.250 0.750 0.500
Zn2 Zn 0.750 0.250 0.500
S1 S 0.983 0.483 0.256
S2 S 0.727 0.227 0.744
S3 S 0.017 0.517 0.744
S4 S 0.227 0.017 0.744
S5 S 0.517 0.727 0.744
S6 S 0.773 0.983 0.256
S7 S 0.483 0.273 0.256
S8 S 0.273 0.773 0.256
S9 S 0.500 0.500 0.000
S10 S 0.000 0.000 0.000
# Raw total energy (eV/atom): -5.42
# Space group: I4/mcm (140)